DFT (PBE) results for an optimized crystal structure of Ta2AgAu.

Results
Distance to the lowest polymorph of the same formula, meV/atom: 651.7
Density of states at the Fermi level, states/eV per cell: 6.47

Cell lengths 7.563, 7.563, 5.991 Å; angles 50.86, 50.86, 90.00 degrees
Fractional coordinates of all 8 atoms:
Au  0.000  0.000  0.000
Au  0.750  0.250  0.500
Ag  0.500  0.500  0.000
Ag  0.250  0.750  0.500
Ta  0.638  0.125  0.250
Ta  0.112  0.625  0.250
Ta  0.375  0.362  0.750
Ta  0.875  0.888  0.750

DFT (PBE) results for an optimized crystal structure of LaInAg.

Results
Density of states at the Fermi level, states/eV per cell: 5.04
VASP energy, eV/cell: -11.5

Cell lengths 4.985, 4.985, 4.985 Å; angles 60.00, 60.00, 60.00 degrees
Fractional coordinates of all 3 atoms:
In  0.000  0.000  0.000
Ag  0.750  0.750  0.750
La  0.500  0.500  0.500

DFT (PBE) results for an optimized crystal structure of Mg3P2.

Results
VASP energy, eV/cell: -36.0

Cell lengths 6.022, 6.022, 6.022 Å; angles 90.00, 90.00, 90.00 degrees
Fractional coordinates of all 10 atoms:
Mg  0.000  0.500  0.500
Mg  0.500  0.000  0.500
Mg  0.500  0.500  0.000
Mg  0.000  0.500  0.000
Mg  0.500  0.000  0.000
Mg  0.000  0.000  0.500
P  0.250  0.250  0.250
P  0.750  0.750  0.250
P  0.750  0.250  0.750
P  0.250  0.750  0.750

DFT (PBE) results for an optimized crystal structure of ScAlTc2.

Results
Distance to the lowest polymorph of the same formula, meV/atom: 9.7
Density of states at the Fermi level, states/eV per cell: 3.42

Cell lengths 3.030, 3.030, 7.171 Å; angles 90.00, 90.00, 90.00 degrees
Fractional coordinates of all 4 atoms:
Sc  0.500  0.500  0.762
Tc  0.000  0.000  0.035
Tc  0.500  0.500  0.242
Al  0.000  0.000  0.462